Below is an optimized crystal structure of YNi2Pb, with properties calculated at the GGA-PBE level.

Cell lengths 4.5328, 4.5328, 3.6143 Å; angles 90.00, 90.00, 90.00 degrees
Closest atoms and distances in Å follow each position.
Atoms (fractional coordinates):
Y: 0.0000 0.0000 0.0000  8 Ni 2.90, 4 Pb 3.21
Ni: 0.0000 0.5000 0.5000  4 Pb 2.90, 4 Y 2.90, 4 Ni 3.21
Ni: 0.5000 0.0000 0.5000  4 Pb 2.90, 4 Y 2.90, 4 Ni 3.21
Pb: 0.5000 0.5000 0.0000  8 Ni 2.90, 4 Y 3.21

Computed properties:
M_tot in μB per cell: 0.000
Energy of formation in eV per atom: -0.14
Raw total energy in eV per atom: -5.570

---

Below is an optimized crystal structure of YNiPb2, with properties calculated at the GGA-PBE level.

Cell lengths 6.2387, 10.7349, 3.8564 Å; angles 90.00, 126.85, 90.00 degrees
Closest atoms and distances in Å follow each position.
Atoms (fractional coordinates):
Y: 0.0000 0.0000 0.0000  4 Ni 3.12-3.19, 4 Pb 3.12
Y: 0.5000 0.5000 0.0000  4 Ni 3.12-3.19, 4 Pb 3.12
Ni: 0.0000 0.5000 0.0000  4 Y 3.12-3.19, 4 Pb 3.12
Ni: 0.5000 0.0000 0.0000  4 Y 3.12-3.19, 4 Pb 3.12
Pb: 0.2500 0.2500 0.5000  4 Pb 3.12-3.19, 2 Y 3.12, 2 Ni 3.12
Pb: 0.2500 0.7500 0.5000  4 Pb 3.12-3.19, 2 Ni 3.12, 2 Y 3.12
Pb: 0.7500 0.2500 0.5000  4 Pb 3.12-3.19, 2 Ni 3.12, 2 Y 3.12
Pb: 0.7500 0.7500 0.5000  4 Pb 3.12-3.19, 2 Ni 3.12, 2 Y 3.12

Computed properties:
M_tot in μB per cell: 0.000
Energy of formation in eV per atom: 0.12
Raw total energy in eV per atom: -4.799

---

Below is an optimized crystal structure of YNiPb2, with properties calculated at the GGA-PBE level.

Cell lengths 3.8423, 4.2137, 12.5455 Å; angles 90.00, 90.00, 90.00 degrees
Closest atoms and distances in Å follow each position.
Atoms (fractional coordinates):
Y: 0.0000 0.0000 0.0000  4 Ni 2.94
Y: 0.0000 0.5000 0.5000  4 Ni 2.94
Ni: 0.5000 0.0000 0.4420  3 Pb 2.70-2.75, 4 Y 2.94
Ni: 0.5000 0.5000 0.9420  3 Pb 2.70-2.75, 4 Y 2.94
Pb: 0.0000 0.0000 0.2847  2 Ni 2.75
Pb: 0.0000 0.5000 0.7847  2 Ni 2.75
Pb: 0.5000 0.0000 0.6568  1 Ni 2.70
Pb: 0.5000 0.5000 0.1568  1 Ni 2.70

Computed properties:
M_tot in μB per cell: 0.000
Energy of formation in eV per atom: -0.12
Raw total energy in eV per atom: -5.032

---

Below is an optimized crystal structure of Y2NiPb, with properties calculated at the GGA-PBE level.

Cell lengths 3.6296, 4.6430, 6.3728 Å; angles 90.00, 90.00, 90.00 degrees
Closest atoms and distances in Å follow each position.
Atoms (fractional coordinates):
Y: 0.0000 0.0000 0.0000  1 Ni 2.66
Y: 0.5000 0.5000 0.3430  4 Ni 2.98, 2 Pb 3.06-3.31
Ni: 0.0000 0.0000 0.4173  1 Y 2.66
Pb: 0.5000 0.5000 0.8235  6 Y 3.06-3.31

Computed properties:
M_tot in μB per cell: 0.000
Energy of formation in eV per atom: -0.14
Raw total energy in eV per atom: -5.743